[1]
A relaxed structure of K2BiI. Source: the Alexandria database, functional PBE-GGA.

* V: 42.658 Å³ per atom
* magnetic moment: 2.0 μB/f.u.
* total DFT energy (no corrections): -2.402 eV/atom

a = 8.8046 Å, b = 8.8046 Å, c = 8.8046 Å
α = 90.00°, β = 90.00°, γ = 90.00°
Last column: nearest neighbours and their distance in Å.
Space group Fm-3m (No. 225)
Inequivalent atoms, fractional coordinates:
K  0.2500  0.2500  0.2500 x8  4 I 3.81, 4 Bi 3.81
Bi  0.0000  0.0000  0.0000 x4  8 K 3.81
I  0.0000  0.0000  0.5000 x4  8 K 3.81


[2]
A relaxed structure of K2LiBiI6. Source: the Alexandria database, functional PBE-GGA.

* V: 47.998 Å³ per atom
* magnetic moment: 0.0 μB/f.u.
* total DFT energy (no corrections): -2.730 eV/atom

a = 8.4088 Å, b = 8.4088 Å, c = 23.5131 Å
α = 90.00°, β = 90.00°, γ = 120.00°
Last column: nearest neighbours and their distance in Å.
Space group R3 (No. 146, hexagonal axes)
Inequivalent atoms, fractional coordinates:
K  0.0000  0.0000  0.0000 x3  6 I 3.53-3.57
K  0.0000  0.0000  0.4980 x3  6 I 3.60-3.62
Li  0.0000  0.0000  0.2861 x3  3 I 2.71
Bi  0.0000  0.0000  0.6981 x3  6 I 3.01-3.26
I  0.0104  0.3942  0.4343 x9  1 Bi 3.01
I  0.0617  0.7138  0.2760 x9  1 Li 2.71


What did the first record say?
A relaxed structure of K2BiI. Source: the Alexandria database, functional PBE-GGA.

* V: 42.658 Å³ per atom
* magnetic moment: 2.0 μB/f.u.
* total DFT energy (no corrections): -2.402 eV/atom

a = 8.8046 Å, b = 8.8046 Å, c = 8.8046 Å
α = 90.00°, β = 90.00°, γ = 90.00°
Last column: nearest neighbours and their distance in Å.
Space group Fm-3m (No. 225)
Inequivalent atoms, fractional coordinates:
K  0.2500  0.2500  0.2500 x8  4 I 3.81, 4 Bi 3.81
Bi  0.0000  0.0000  0.0000 x4  8 K 3.81
I  0.0000  0.0000  0.5000 x4  8 K 3.81


Copy entry 1 word for word.
A relaxed structure of K2BiI. Source: the Alexandria database, functional PBE-GGA.

* V: 42.658 Å³ per atom
* magnetic moment: 2.0 μB/f.u.
* total DFT energy (no corrections): -2.402 eV/atom

a = 8.8046 Å, b = 8.8046 Å, c = 8.8046 Å
α = 90.00°, β = 90.00°, γ = 90.00°
Last column: nearest neighbours and their distance in Å.
Space group Fm-3m (No. 225)
Inequivalent atoms, fractional coordinates:
K  0.2500  0.2500  0.2500 x8  4 I 3.81, 4 Bi 3.81
Bi  0.0000  0.0000  0.0000 x4  8 K 3.81
I  0.0000  0.0000  0.5000 x4  8 K 3.81


Please write out number 2 again, unchanged.
A relaxed structure of K2LiBiI6. Source: the Alexandria database, functional PBE-GGA.

* V: 47.998 Å³ per atom
* magnetic moment: 0.0 μB/f.u.
* total DFT energy (no corrections): -2.730 eV/atom

a = 8.4088 Å, b = 8.4088 Å, c = 23.5131 Å
α = 90.00°, β = 90.00°, γ = 120.00°
Last column: nearest neighbours and their distance in Å.
Space group R3 (No. 146, hexagonal axes)
Inequivalent atoms, fractional coordinates:
K  0.0000  0.0000  0.0000 x3  6 I 3.53-3.57
K  0.0000  0.0000  0.4980 x3  6 I 3.60-3.62
Li  0.0000  0.0000  0.2861 x3  3 I 2.71
Bi  0.0000  0.0000  0.6981 x3  6 I 3.01-3.26
I  0.0104  0.3942  0.4343 x9  1 Bi 3.01
I  0.0617  0.7138  0.2760 x9  1 Li 2.71